# Pm3Sm6Y2In | Alexandria | GGA-PBE | relaxed
data_Pm3Sm6Y2In
_space_group_name_H-M_alt 'C 1 2/m 1'
_space_group_IT_number 12
_cell_length_a 6.210
_cell_length_b 10.789
_cell_length_c 11.840
_cell_angle_alpha 90.00
_cell_angle_beta 100.25
_cell_angle_gamma 90.00
loop_
_space_group_symop_operation_xyz
'x,y,z'
'-x,-y,-z'
'-x,y,-z'
'x,-y,z'
'x+1/2,y+1/2,z'
'-x+1/2,-y+1/2,-z'
'-x+1/2,y+1/2,-z'
'x+1/2,-y+1/2,z'
loop_
_atom_site_label
_atom_site_type_symbol
_atom_site_fract_x
_atom_site_fract_y
_atom_site_fract_z
Pm1 Pm 0.000 0.000 0.000
Pm2 Pm 0.000 0.331 0.000
Sm1 Sm 0.244 0.337 0.744
Sm2 Sm 0.245 0.500 0.254
Y1 Y 0.000 0.166 0.500
In1 In 0.000 0.500 0.500
# - Formation enthalpy at 0 K: -0.5 eV/f.u.
# - DOS at the Fermi energy: 15.91 states/eV/f.u.
# - Raw total energy: -4.8905 eV/atom
# - Total magnetic moment: 0.00 Bohr magnetons per cell